Below is crystalline AcTbSe at its relaxed geometry, with properties calculated at the PBE level.

Geometry as POSCAR:
```
AcTbSe
1.0
4.0736 0.0000 0.0000
-2.0368 3.5279 0.0000
0.0000 0.0000 7.0092
Tb Se Ac
1 1 1
Direct
0.6667 0.3333 0.4017 Tb
0.3333 0.6667 0.6464 Se
0.0000 0.0000 0.9519 Ac
```

---

Below is crystalline Ac2TbSe4 at its relaxed geometry, with properties calculated at the PBE level.

Geometry as POSCAR:
```
Ac2TbSe4
1.0
4.1443 0.0000 0.0000
-2.0721 7.3836 0.0000
0.0000 0.0000 14.4710
Se Tb Ac
8 2 4
Direct
0.5000 0.0000 0.5000 Se
0.2159 0.4318 0.8720 Se
0.7841 0.5682 0.3720 Se
0.2159 0.4318 0.6280 Se
0.0107 0.0213 0.2500 Se
0.7841 0.5682 0.1280 Se
0.5000 0.0000 0.0000 Se
0.9893 0.9787 0.7500 Se
0.3708 0.7415 0.2500 Tb
0.6292 0.2585 0.7500 Tb
0.1309 0.2617 0.4238 Ac
0.8691 0.7383 0.9238 Ac
0.8691 0.7383 0.5762 Ac
0.1309 0.2617 0.0762 Ac
```

---

Below is crystalline Ac3Tb5Se12 at its relaxed geometry, with properties calculated at the PBE level.

Geometry as POSCAR:
```
Ac3Tb5Se12
1.0
15.0400 0.0000 0.0000
-5.0133 14.1799 0.0000
-5.0133 -7.0899 12.2801
Se Tb Ac
48 20 12
Direct
0.9111 0.0860 0.6273 Se
0.8727 0.2838 0.4587 Se
0.5413 0.2162 0.1273 Se
0.0860 0.9111 0.1273 Se
0.2838 0.4111 0.8251 Se
0.5860 0.9587 0.6749 Se
0.7838 0.3251 0.9111 Se
0.1273 0.4111 0.0860 Se
0.9587 0.5860 0.1749 Se
0.4111 0.1273 0.5860 Se
0.4140 0.3727 0.5889 Se
0.2838 0.8727 0.9587 Se
0.5889 0.8727 0.4140 Se
0.6273 0.0413 0.2162 Se
0.0860 0.1749 0.4587 Se
0.6749 0.2162 0.5889 Se
0.8727 0.5889 0.9140 Se
0.4587 0.6749 0.0860 Se
0.7162 0.1273 0.0413 Se
0.3251 0.7838 0.4111 Se
0.2162 0.5413 0.6273 Se
0.1749 0.0889 0.7162 Se
0.7838 0.4587 0.3727 Se
0.4140 0.0413 0.3251 Se
0.4111 0.2838 0.3251 Se
0.8251 0.9111 0.2838 Se
0.5860 0.6273 0.4111 Se
0.3727 0.9587 0.7838 Se
0.6749 0.4587 0.5860 Se
0.5413 0.3251 0.9140 Se
0.4587 0.7838 0.8727 Se
0.9587 0.3727 0.2838 Se
0.0889 0.1749 0.2162 Se
0.9140 0.0889 0.8727 Se
0.1749 0.0860 0.9587 Se
0.3727 0.4140 0.0889 Se
0.6273 0.5860 0.9111 Se
0.0413 0.4140 0.8251 Se
0.0889 0.9140 0.3727 Se
0.1273 0.7162 0.5413 Se
0.7162 0.5889 0.1749 Se
0.3251 0.5413 0.4140 Se
0.9140 0.8251 0.5413 Se
0.8251 0.9140 0.0413 Se
0.0413 0.6273 0.7162 Se
0.2162 0.6749 0.0889 Se
0.5889 0.7162 0.6749 Se
0.9111 0.8251 0.7838 Se
0.3750 0.1250 0.7500 Tb
0.5000 0.0000 0.0000 Tb
0.8750 0.6250 0.7500 Tb
0.1250 0.3750 0.2500 Tb
0.6250 0.7500 0.8750 Tb
0.7500 0.1250 0.8750 Tb
0.0000 0.5000 0.5000 Tb
0.3750 0.2500 0.1250 Tb
0.2500 0.3750 0.6250 Tb
0.0000 0.0000 0.5000 Tb
0.1250 0.7500 0.3750 Tb
0.0000 0.0000 0.0000 Tb
0.5000 0.5000 0.0000 Tb
0.0000 0.5000 0.0000 Tb
0.5000 0.5000 0.5000 Tb
0.6250 0.8750 0.2500 Tb
0.8750 0.2500 0.6250 Tb
0.5000 0.0000 0.5000 Tb
0.2500 0.8750 0.1250 Tb
0.7500 0.6250 0.3750 Tb
0.3750 0.6250 0.2500 Ac
0.8750 0.7500 0.1250 Ac
0.1250 0.8750 0.7500 Ac
0.8750 0.1250 0.2500 Ac
0.6250 0.2500 0.3750 Ac
0.6250 0.3750 0.7500 Ac
0.2500 0.6250 0.8750 Ac
0.2500 0.1250 0.3750 Ac
0.1250 0.2500 0.8750 Ac
0.7500 0.8750 0.6250 Ac
0.7500 0.3750 0.1250 Ac
0.3750 0.7500 0.6250 Ac
```

---

Below is crystalline AcTbSe at its relaxed geometry, with properties calculated at the PBE level.

Geometry as POSCAR:
```
AcTbSe
1.0
3.7692 0.0000 0.0000
0.0000 3.7692 0.0000
-1.8846 -1.8846 6.5820
Tb Ac Se
1 1 1
Direct
0.6325 0.6325 0.2650 Tb
0.3535 0.3535 0.7070 Ac
0.0140 0.0140 0.0280 Se
```

---

Below is crystalline AcTb3Se6 at its relaxed geometry, with properties calculated at the PBE level.

Geometry as POSCAR:
```
AcTb3Se6
1.0
4.2359 0.0000 0.0000
0.0000 11.7583 -0.0109
0.0000 -3.9405 11.4108
Se Ac Tb
12 2 6
Direct
0.7500 0.4808 0.6122 Se
0.2500 0.6098 0.9465 Se
0.7500 0.9156 0.0898 Se
0.2500 0.2005 0.2495 Se
0.7500 0.3902 0.0535 Se
0.7500 0.1242 0.4648 Se
0.7500 0.7272 0.2690 Se
0.2500 0.2728 0.7310 Se
0.2500 0.0844 0.9102 Se
0.2500 0.8758 0.5352 Se
0.7500 0.7995 0.7505 Se
0.2500 0.5192 0.3878 Se
0.2500 0.9476 0.3025 Ac
0.7500 0.0524 0.6975 Ac
0.7500 0.4480 0.8345 Tb
0.7500 0.1599 0.0890 Tb
0.7500 0.6781 0.4996 Tb
0.2500 0.8401 0.9110 Tb
0.2500 0.3219 0.5004 Tb
0.2500 0.5520 0.1655 Tb
```

---

Below is crystalline Ac2Tb3Se8 at its relaxed geometry, with properties calculated at the PBE level.

Geometry as POSCAR:
```
Ac2Tb3Se8
1.0
-1.1209 6.8000 -2.0266
-7.4599 -2.2821 -3.5312
0.8549 0.0482 8.5456
Se Ac Tb
8 2 3
Direct
0.0486 0.3777 0.7554 Se
0.5920 0.1140 0.7672 Se
0.0823 0.8899 0.7797 Se
0.4080 0.8860 0.2328 Se
0.5920 0.6532 0.7672 Se
0.9177 0.1101 0.2203 Se
0.9514 0.6223 0.2446 Se
0.4080 0.3468 0.2328 Se
0.6602 0.7340 0.4680 Ac
0.3398 0.2660 0.5320 Ac
0.0000 0.2612 0.0000 Tb
0.0000 0.7388 0.0000 Tb
0.5000 0.0000 0.0000 Tb
```

---

Below is crystalline AcTb4Se8 at its relaxed geometry, with properties calculated at the PBE level.

Geometry as POSCAR:
```
AcTb4Se8
1.0
-2.7555 -4.4806 6.3209
-5.5085 -5.9692 -1.2835
2.6863 -8.2828 0.6489
Se Ac Tb
8 1 4
Direct
0.2611 0.2611 0.2167 Se
0.7587 0.7587 0.2253 Se
0.7427 0.2413 0.7747 Se
0.7389 0.7389 0.7833 Se
0.7587 0.2573 0.2253 Se
0.2413 0.7427 0.7747 Se
0.2413 0.2413 0.7747 Se
0.2573 0.7587 0.2253 Se
0.5000 0.5000 0.5000 Ac
0.0000 0.0000 0.0000 Tb
0.5000 0.0000 0.0000 Tb
0.0000 0.5000 0.0000 Tb
0.5000 0.5000 0.0000 Tb
```

---

Below is crystalline Ac2TbSe at its relaxed geometry, with properties calculated at the PBE level.

Geometry as POSCAR:
```
Ac2TbSe
1.0
4.0753 0.0000 0.0000
2.0376 3.5293 0.0000
2.0376 1.1764 10.3700
Ac Tb Se
2 1 1
Direct
0.7358 0.7358 0.7926 Ac
0.2642 0.2642 0.2074 Ac
0.5000 0.5000 0.5000 Tb
0.0000 0.0000 0.0000 Se
```

---

Below is crystalline Ac5TbSe6 at its relaxed geometry, with properties calculated at the PBE level.

Geometry as POSCAR:
```
Ac5TbSe6
1.0
-3.1023 -6.8158 1.5053
1.4803 2.0329 -7.2126
7.1206 -1.2607 2.4635
Ac Tb Se
5 1 6
Direct
0.5000 0.5000 0.5000 Ac
0.1725 0.8275 0.5000 Ac
0.8275 0.1725 0.5000 Ac
0.6655 0.3345 0.0000 Ac
0.3345 0.6655 0.0000 Ac
0.0000 0.0000 0.0000 Tb
0.6037 0.9219 0.7627 Se
0.3963 0.0781 0.2373 Se
0.7648 0.7648 0.2451 Se
0.0781 0.3963 0.2373 Se
0.2352 0.2352 0.7549 Se
0.9219 0.6037 0.7627 Se
```

---

Below is crystalline Ac2Tb2Se5 at its relaxed geometry, with properties calculated at the PBE level.

Geometry as POSCAR:
```
Ac2Tb2Se5
1.0
-6.7361 2.9243 3.9038
1.2150 -4.6485 5.5786
8.1096 7.4314 -0.4322
Se Tb Ac
10 4 4
Direct
0.4508 0.2769 0.7115 Se
0.8027 0.2890 0.0511 Se
0.5492 0.5653 0.2885 Se
0.7608 0.7769 0.7115 Se
0.2392 0.0653 0.2885 Se
0.7484 0.7890 0.0511 Se
0.1973 0.2379 0.9489 Se
0.8256 0.1659 0.5000 Se
0.2516 0.7379 0.9489 Se
0.1744 0.6659 0.5000 Se
0.0000 0.9851 0.0000 Tb
0.8542 0.7878 0.5000 Tb
0.5000 0.4851 0.0000 Tb
0.1458 0.2878 0.5000 Tb
0.5395 0.1115 0.1949 Ac
0.1554 0.6115 0.1949 Ac
0.8446 0.4166 0.8051 Ac
0.4605 0.9166 0.8051 Ac
```

---

Below is crystalline Ac2TbTe2Se2 at its relaxed geometry, with properties calculated at the PBE level.

Geometry as POSCAR:
```
Ac2TbTe2Se2
1.0
5.3346 0.0000 0.0000
0.0000 5.3346 0.0000
-2.6673 -2.6673 8.4073
Se Ac Te Tb
2 2 2 1
Direct
0.0000 0.5000 0.0000 Se
0.5000 0.0000 0.0000 Se
0.6240 0.6240 0.2481 Ac
0.3760 0.3760 0.7519 Ac
0.1815 0.1815 0.3630 Te
0.8185 0.8185 0.6370 Te
0.0000 0.0000 0.0000 Tb
```

---

Below is crystalline Ac2Tb2Te2Se3 at its relaxed geometry, with properties calculated at the PBE level.

Geometry as POSCAR:
```
Ac2Tb2Te2Se3
1.0
-4.9974 -0.7970 -1.8401
1.3048 -5.0445 -1.3588
-1.0064 -0.2771 10.7319
Te Se Ac Tb
2 3 2 2
Direct
0.5963 0.5963 0.1925 Te
0.4037 0.4037 0.8075 Te
0.2500 0.7500 0.5000 Se
0.7500 0.2500 0.5000 Se
0.0000 0.0000 0.0000 Se
0.1773 0.1773 0.3546 Ac
0.8227 0.8227 0.6454 Ac
0.0000 0.5000 0.0000 Tb
0.5000 0.0000 0.0000 Tb
```

---

| no. | DFT total energy (eV per atom) | formation energy without anion corrections (eV per atom) |
| --- | --- | --- |
| 1 | -5.12 | -1.0460 |
| 2 | -5.67 | -1.8422 |
| 3 | -5.70 | -1.8339 |
| 4 | -4.99 | -0.9177 |
| 5 | -5.83 | -1.9396 |
| 6 | -5.64 | -1.7926 |
| 7 | -5.65 | -1.7633 |
| 8 | -4.80 | -0.7193 |
| 9 | -5.68 | -1.8368 |
| 10 | -5.58 | -1.6976 |
| 11 | -5.28 | -1.5531 |
| 12 | -5.32 | -1.5190 |